Ca3MnO | GGA+U | relaxed

Unit cell a=4.944 b=4.944 c=4.944 alpha=90.00 beta=90.00 gamma=90.00
Site moments in Bohr magnetons follow the coordinates.
Positions (direct):
Ca 0.000 0.500 0.000  -0.01
Ca 0.000 0.000 0.500  -0.01
Mn 0.500 0.500 0.500  4.60
Ca 0.500 0.000 0.000  -0.04
O 0.000 0.000 0.000  0.01

## Properties
The calculation puts the excess energy over the best structure of this formula in the dataset at 0.0000 eV per atom. The calculation puts the total magnetization at 0.961 μB/atom. As for the space group: No. 221. The calculation puts the density of states at the Fermi level at 0.545 states/eV per atom.